1.
Material: Nd2Ni5Sn3
Method: DFT, PBE
State: relaxed

Summary:
- energy of formation (eV per atom) = -0.404
- spin magnetization (μB/f.u.) = 0.0
- SG = Ibam

abc: 6.1696 8.4972 8.4972
angles: 73.47 68.71 68.71
Last column: nearest neighbours and their distance in Å.
Fractional positions:
Nd 0.1244 0.6103 0.1409  10 Ni 3.21-3.39, 7 Sn 3.28-3.53
Nd 0.8756 0.3897 0.8591  10 Ni 3.21-3.39, 7 Sn 3.28-3.53
Nd 0.6244 0.1409 0.6103  10 Ni 3.21-3.39, 7 Sn 3.28-3.53
Nd 0.3756 0.8591 0.3897  10 Ni 3.21-3.39, 7 Sn 3.28-3.53
Sn 0.6381 0.4738 0.2500  5 Ni 2.50-2.55
Sn 0.1381 0.2500 0.4738  5 Ni 2.50-2.55
Sn 0.8619 0.7500 0.5262  5 Ni 2.50-2.55
Sn 0.7500 0.0000 0.0000  6 Ni 2.59-2.71
Sn 0.2500 0.0000 0.0000  6 Ni 2.59-2.71
Sn 0.3619 0.5262 0.7500  5 Ni 2.50-2.55
Ni 0.7500 0.5000 0.5000  4 Sn 2.55
Ni 0.5271 0.2229 0.2229  2 Ni 2.44, 3 Sn 2.55-2.71
Ni 0.1230 0.0193 0.7346  2 Ni 2.44, 3 Sn 2.50-2.59
Ni 0.9729 0.7771 0.7771  2 Ni 2.44, 3 Sn 2.55-2.71
Ni 0.8770 0.9807 0.2654  2 Ni 2.44, 3 Sn 2.50-2.59
Ni 0.0271 0.2229 0.2229  2 Ni 2.44, 3 Sn 2.55-2.71
Ni 0.3770 0.2654 0.9807  2 Ni 2.44, 3 Sn 2.50-2.59
Ni 0.4729 0.7771 0.7771  2 Ni 2.44, 3 Sn 2.55-2.71
Ni 0.2500 0.5000 0.5000  4 Sn 2.55
Ni 0.6230 0.7346 0.0193  2 Ni 2.44, 3 Sn 2.50-2.59

***

2.
Material: Nd4Ni2Sn5
Method: DFT, PBE
State: relaxed

Summary:
- energy of formation (eV per atom) = -0.575
- spin magnetization (μB/f.u.) = 0.0
- SG = P2/m

abc: 4.3545 7.4346 8.8959
angles: 90.93 90.00 90.00
Last column: nearest neighbours and their distance in Å.
Fractional positions:
Sn 0.0000 0.5790 0.3462  1 Ni 2.61
Sn 0.0000 0.4210 0.6538  1 Ni 2.61
Sn 0.0000 0.8795 0.8613  1 Ni 2.60
Sn 0.0000 0.5000 0.0000  4 Sn 3.10-3.13, 4 Nd 3.27
Sn 0.0000 0.1205 0.1387  1 Ni 2.60
Ni 0.0000 0.9286 0.3806  1 Ni 2.36, 2 Sn 2.60-2.61
Ni 0.0000 0.0714 0.6194  1 Ni 2.36, 2 Sn 2.60-2.61
Nd 0.5000 0.2334 0.4059  4 Ni 3.14-3.15, 6 Sn 3.32-3.42
Nd 0.5000 0.7666 0.5941  4 Ni 3.14-3.15, 6 Sn 3.32-3.42
Nd 0.5000 0.7863 0.1388  2 Ni 3.23, 8 Sn 3.26-3.37
Nd 0.5000 0.2137 0.8612  2 Ni 3.23, 8 Sn 3.26-3.37

***

3.
Material: NdNi5Sn2
Method: DFT, PBE
State: relaxed

Summary:
- energy of formation (eV per atom) = -0.251
- spin magnetization (μB/f.u.) = 0.0
- SG = Immm

abc: 3.8438 6.5358 6.5358
angles: 59.91 72.90 72.90
Last column: nearest neighbours and their distance in Å.
Fractional positions:
Ni 0.3855 0.8006 0.4283  4 Ni 2.43-2.58, 3 Sn 2.56-2.65
Ni 0.6145 0.5717 0.1994  4 Ni 2.43-2.58, 3 Sn 2.56-2.65
Ni 0.0000 0.5000 0.5000  2 Sn 2.57, 8 Ni 2.58
Ni 0.6145 0.1994 0.5717  4 Ni 2.43-2.58, 3 Sn 2.56-2.65
Ni 0.3855 0.4283 0.8006  4 Ni 2.43-2.58, 3 Sn 2.56-2.65
Sn 0.7586 0.7414 0.7414  7 Ni 2.56-2.65
Sn 0.2414 0.2586 0.2586  7 Ni 2.56-2.65
Nd 0.0000 0.0000 0.0000  10 Ni 3.06-3.26, 4 Sn 3.36

***

4.
Material: NdNi2Sn7
Method: DFT, PBE
State: relaxed

Summary:
- energy of formation (eV per atom) = -0.093
- spin magnetization (μB/f.u.) = 0.0
- SG = Cmmm

abc: 4.6314 8.0028 8.0028
angles: 115.26 90.00 90.00
Last column: nearest neighbours and their distance in Å.
Fractional positions:
Sn 0.5000 0.6606 0.9380  1 Ni 2.63
Sn 0.5000 0.3394 0.0620  1 Ni 2.63
Sn 0.0000 0.7538 0.2462  2 Ni 2.51
Sn 0.5000 0.0620 0.3394  1 Ni 2.63
Sn 0.5000 0.9380 0.6606  1 Ni 2.63
Sn 0.5000 0.5000 0.5000  2 Ni 2.47
Sn 0.0000 0.2462 0.7538  2 Ni 2.51
Ni 0.5000 0.6829 0.3171  5 Sn 2.47-2.63
Ni 0.5000 0.3171 0.6829  5 Sn 2.47-2.63
Nd 0.0000 0.0000 0.0000  10 Sn 3.33-3.44

***

5.
Material: NdNi6Sn6
Method: DFT, PBE
State: relaxed

Summary:
- energy of formation (eV per atom) = -0.283
- spin magnetization (μB/f.u.) = 0.0
- SG = P6/mmm

abc: 5.4896 5.4896 8.6879
angles: 90.00 90.00 120.00
Last column: nearest neighbours and their distance in Å.
Fractional positions:
Sn 0.0000 0.0000 0.3385  1 Sn 2.81, 6 Ni 2.86, 1 Nd 2.94
Sn 0.6667 0.3333 0.5000  6 Ni 2.70
Sn 0.0000 0.0000 0.6615  1 Sn 2.81, 6 Ni 2.86, 1 Nd 2.94
Sn 0.6667 0.3333 0.0000  6 Ni 2.67
Sn 0.3333 0.6667 0.5000  6 Ni 2.70
Sn 0.3333 0.6667 0.0000  6 Ni 2.67
Ni 0.5000 0.0000 0.2480  6 Sn 2.67-2.86, 4 Ni 2.74
Ni 0.5000 0.0000 0.7520  6 Sn 2.67-2.86, 4 Ni 2.74
Ni 0.0000 0.5000 0.2480  6 Sn 2.67-2.86, 4 Ni 2.74
Ni 0.5000 0.5000 0.2480  6 Sn 2.67-2.86, 4 Ni 2.74
Ni 0.5000 0.5000 0.7520  6 Sn 2.67-2.86, 4 Ni 2.74
Ni 0.0000 0.5000 0.7520  6 Sn 2.67-2.86, 4 Ni 2.74
Nd 0.0000 0.0000 0.0000  8 Sn 2.94-3.17

***

6.
Material: NdNiSn2
Method: DFT, PBE
State: relaxed

Summary:
- energy of formation (eV per atom) = -0.591
- spin magnetization (μB/f.u.) = 0.0
- SG = Immm

abc: 4.5298 9.3237 10.1398
angles: 117.37 102.91 90.00
Last column: nearest neighbours and their distance in Å.
Fractional positions:
Sn 0.6952 0.0324 0.3905  3 Ni 2.55-2.83
Sn 0.0803 0.5803 0.1607  2 Ni 2.59, 1 Sn 2.80
Sn 0.9197 0.4197 0.8393  2 Ni 2.59, 1 Sn 2.80
Sn 0.0843 0.0843 0.1685  2 Ni 2.61
Sn 0.3048 0.9676 0.6095  3 Ni 2.55-2.83
Sn 0.3048 0.6419 0.6095  3 Ni 2.55-2.83
Sn 0.9157 0.9157 0.8315  2 Ni 2.61
Sn 0.6952 0.3581 0.3905  3 Ni 2.55-2.83
Nd 0.5000 0.7376 0.0000  4 Ni 3.44, 10 Sn 3.46-3.64
Nd 0.5000 0.2624 0.0000  4 Ni 3.44, 10 Sn 3.46-3.64
Nd 0.7058 0.7058 0.4117  8 Sn 3.15-3.23, 6 Ni 3.38-3.46
Nd 0.2942 0.2942 0.5883  8 Sn 3.15-3.23, 6 Ni 3.38-3.46
Ni 0.8513 0.1044 0.7025  5 Sn 2.55-2.83
Ni 0.8513 0.5981 0.7025  5 Sn 2.55-2.83
Ni 0.1487 0.8956 0.2975  5 Sn 2.55-2.83
Ni 0.1487 0.4019 0.2975  5 Sn 2.55-2.83

***

Among the records above, which one has the highest energy of formation? NdNi2Sn7